# 1
Density functional theory data (GGA-PBE) for a relaxed Tl2SnGe crystal.

Properties
DFT formation energy in eV per formula unit: 0.4
Total magnetization in μB/cell: 0.000
DOS(E_F) in states/eV/atom: 0.456
E in eV/atom: -3.246

a = 4.984 Å, b = 6.218 Å, c = 8.021 Å
α = 91.83°, β = 90.12°, γ = 112.36°
Positions (direct):
Tl: 0.000 0.000 0.000
Tl: 0.164 0.319 0.533
Tl: 0.450 0.905 0.338
Tl: 0.740 0.470 0.258
Sn: 0.290 0.579 0.991
Sn: 0.693 0.378 0.811
Ge: 0.448 0.897 0.723
Ge: 0.888 0.766 0.598

=====

# 2
Density functional theory data (GGA-PBE) for a relaxed Tl2SnGe crystal.

Properties
DFT formation energy in eV per formula unit: 0.3
Total magnetization in μB/cell: 0.000
DOS(E_F) in states/eV/atom: 0.433
E in eV/atom: -3.255

a = 4.422 Å, b = 6.217 Å, c = 8.942 Å
α = 98.27°, β = 90.50°, γ = 110.51°
Positions (direct):
Tl: 0.000 0.000 0.000
Tl: 0.159 0.320 0.488
Tl: 0.446 0.888 0.304
Tl: 0.717 0.438 0.205
Sn: 0.270 0.558 0.942
Sn: 0.501 0.981 0.706
Ge: 0.723 0.467 0.744
Ge: 0.888 0.759 0.543

=====

# 3
Density functional theory data (GGA-PBE) for a relaxed Tl2Sn2Ge crystal.

Properties
DFT formation energy in eV per formula unit: 1.7
Distance to the lowest polymorph of the same formula in meV per atom: 210
Total magnetization in μB/cell: 0.000
DOS(E_F) in states/eV/atom: 0.607
E in eV/atom: -3.133

a = 8.652 Å, b = 8.652 Å, c = 3.829 Å
α = 90.00°, β = 90.00°, γ = 90.00°
Positions (direct):
Tl: 0.166 0.334 0.000
Tl: 0.334 0.834 0.000
Tl: 0.666 0.166 0.000
Tl: 0.834 0.666 0.000
Sn: 0.134 0.634 0.500
Sn: 0.366 0.134 0.500
Sn: 0.634 0.866 0.500
Sn: 0.866 0.366 0.500
Ge: 0.000 0.000 0.000
Ge: 0.500 0.500 0.000

=====

# 4
Density functional theory data (GGA-PBE) for a relaxed Tl2SnGe crystal.

Properties
DFT formation energy in eV per formula unit: 0.4
Total magnetization in μB/cell: 0.000
DOS(E_F) in states/eV/atom: 0.444
E in eV/atom: -3.239

a = 5.029 Å, b = 5.995 Å, c = 8.400 Å
α = 108.31°, β = 91.39°, γ = 110.83°
Positions (direct):
Tl: 0.000 0.000 0.000
Tl: 0.184 0.410 0.420
Tl: 0.455 0.926 0.274
Tl: 0.715 0.456 0.117
Sn: 0.677 0.383 0.678
Sn: 0.943 0.911 0.573
Ge: 0.228 0.484 0.863
Ge: 0.445 0.888 0.760

=====

# 5
Density functional theory data (GGA-PBE) for a relaxed Tl3SnGe crystal.

Properties
DFT formation energy in eV per formula unit: 2.1
Distance to the lowest polymorph of the same formula in meV per atom: 0
Total magnetization in μB/cell: 0.000
DOS(E_F) in states/eV/atom: 1.177
E in eV/atom: -2.723

a = 5.489 Å, b = 5.489 Å, c = 5.489 Å
α = 90.00°, β = 90.00°, γ = 90.00°
Positions (direct):
Tl: 0.000 0.000 0.500
Tl: 0.000 0.500 0.000
Tl: 0.500 0.000 0.000
Sn: 0.500 0.500 0.500
Ge: 0.000 0.000 0.000

=====

# 6
Density functional theory data (GGA-PBE) for a relaxed Tl2SnGe2 crystal.

Properties
DFT formation energy in eV per formula unit: 1.0
Distance to the lowest polymorph of the same formula in meV per atom: 50
Total magnetization in μB/cell: 0.000
DOS(E_F) in states/eV/atom: 0.536
E in eV/atom: -3.393

a = 9.789 Å, b = 9.789 Å, c = 9.789 Å
α = 157.76°, β = 157.76°, γ = 31.66°
Positions (direct):
Tl: 0.110 0.110 0.000
Tl: 0.890 0.890 0.000
Sn: 0.500 0.500 0.000
Ge: 0.250 0.750 0.500
Ge: 0.750 0.250 0.500

=====

# 7
Density functional theory data (GGA-PBE) for a relaxed Tl2SnGe crystal.

Properties
DFT formation energy in eV per formula unit: 0.8
Total magnetization in μB/cell: 0.000
DOS(E_F) in states/eV/atom: 0.293
E in eV/atom: -3.135

a = 3.820 Å, b = 3.820 Å, c = 7.371 Å
α = 90.00°, β = 90.00°, γ = 90.00°
Positions (direct):
Tl: 0.000 0.000 0.233
Tl: 0.000 0.000 0.767
Sn: 0.500 0.500 0.500
Ge: 0.500 0.500 0.000

=====

# 8
Density functional theory data (GGA-PBE) for a relaxed TlSn2Ge crystal.

Properties
DFT formation energy in eV per formula unit: 0.8
Distance to the lowest polymorph of the same formula in meV per atom: 103
Total magnetization in μB/cell: 0.000
DOS(E_F) in states/eV/atom: 0.683
E in eV/atom: -3.551

a = 5.297 Å, b = 5.297 Å, c = 5.297 Å
α = 60.00°, β = 60.00°, γ = 60.00°
Positions (direct):
Tl: 0.000 0.000 0.000
Sn: 0.250 0.250 0.250
Sn: 0.750 0.750 0.750
Ge: 0.500 0.500 0.500

=====

# 9
Density functional theory data (GGA-PBE) for a relaxed TlSn2Ge crystal.

Properties
DFT formation energy in eV per formula unit: 0.4
Distance to the lowest polymorph of the same formula in meV per atom: 18
Total magnetization in μB/cell: 0.000
DOS(E_F) in states/eV/atom: 0.450
E in eV/atom: -3.636

a = 8.161 Å, b = 8.161 Å, c = 8.161 Å
α = 28.89°, β = 28.89°, γ = 28.89°
Positions (direct):
Tl: 0.000 0.000 0.000
Sn: 0.235 0.235 0.235
Sn: 0.765 0.765 0.765
Ge: 0.500 0.500 0.500

=====

# 10
Density functional theory data (GGA-PBE) for a relaxed TlSn2Ge2 crystal.

Properties
DFT formation energy in eV per formula unit: 0.8
Distance to the lowest polymorph of the same formula in meV per atom: 53
Total magnetization in μB/cell: 0.000
DOS(E_F) in states/eV/atom: 0.540
E in eV/atom: -3.760

a = 7.100 Å, b = 7.100 Å, c = 7.100 Å
α = 140.89°, β = 140.89°, γ = 56.50°
Positions (direct):
Tl: 0.000 0.000 0.000
Sn: 0.378 0.378 0.000
Sn: 0.622 0.622 0.000
Ge: 0.250 0.750 0.500
Ge: 0.750 0.250 0.500

=====

# 11
Density functional theory data (GGA-PBE) for a relaxed TlSn3Ge3 crystal.

Properties
DFT formation energy in eV per formula unit: 1.3
Total magnetization in μB/cell: 0.000
DOS(E_F) in states/eV/atom: 0.370
E in eV/atom: -3.846

a = 7.649 Å, b = 7.649 Å, c = 7.649 Å
α = 90.00°, β = 90.00°, γ = 90.00°
Positions (direct):
Tl: 0.000 0.000 0.000
Tl: 0.500 0.500 0.500
Sn: 0.000 0.250 0.500
Sn: 0.000 0.750 0.500
Sn: 0.250 0.500 0.000
Sn: 0.500 0.000 0.250
Sn: 0.500 0.000 0.750
Sn: 0.750 0.500 0.000
Ge: 0.000 0.500 0.250
Ge: 0.000 0.500 0.750
Ge: 0.250 0.000 0.500
Ge: 0.500 0.250 0.000
Ge: 0.500 0.750 0.000
Ge: 0.750 0.000 0.500

=====

# 12
Density functional theory data (GGA-PBE) for a relaxed Tl2Sn2Ge crystal.

Properties
DFT formation energy in eV per formula unit: 0.6
Distance to the lowest polymorph of the same formula in meV per atom: 0
Total magnetization in μB/cell: 0.000
DOS(E_F) in states/eV/atom: 0.365
E in eV/atom: -3.343

a = 7.457 Å, b = 7.457 Å, c = 5.345 Å
α = 90.00°, β = 90.00°, γ = 90.00°
Positions (direct):
Tl: 0.172 0.328 0.000
Tl: 0.328 0.828 0.000
Tl: 0.672 0.172 0.000
Tl: 0.828 0.672 0.000
Sn: 0.143 0.643 0.500
Sn: 0.357 0.143 0.500
Sn: 0.643 0.857 0.500
Sn: 0.857 0.357 0.500
Ge: 0.000 0.000 0.500
Ge: 0.500 0.500 0.500

=====

# 13
Density functional theory data (GGA-PBE) for a relaxed Tl2SnGe crystal.

Properties
DFT formation energy in eV per formula unit: 0.4
Total magnetization in μB/cell: 0.000
DOS(E_F) in states/eV/atom: 0.435
E in eV/atom: -3.243

a = 3.557 Å, b = 8.175 Å, c = 8.621 Å
α = 65.39°, β = 89.99°, γ = 89.98°
Positions (direct):
Tl: 0.000 0.000 0.000
Tl: 0.000 0.497 0.341
Tl: 0.500 0.389 0.728
Tl: 0.501 0.671 0.942
Sn: 0.499 0.232 0.175
Sn: 0.500 0.069 0.566
Ge: 0.001 0.766 0.602
Ge: 0.501 0.838 0.354

=====

# 14
Density functional theory data (GGA-PBE) for a relaxed TlSn2Ge crystal.

Properties
DFT formation energy in eV per formula unit: 0.4
Distance to the lowest polymorph of the same formula in meV per atom: 0
Total magnetization in μB/cell: 0.000
DOS(E_F) in states/eV/atom: 0.399
E in eV/atom: -3.654

a = 3.756 Å, b = 3.756 Å, c = 7.620 Å
α = 90.00°, β = 90.00°, γ = 90.00°
Positions (direct):
Tl: 0.000 0.000 0.000
Sn: 0.500 0.500 0.297
Sn: 0.500 0.500 0.703
Ge: 0.000 0.000 0.500

=====

# 15
Density functional theory data (GGA-PBE) for a relaxed TlSn2Ge2 crystal.

Properties
DFT formation energy in eV per formula unit: 0.7
Distance to the lowest polymorph of the same formula in meV per atom: 39
Total magnetization in μB/cell: 0.000
DOS(E_F) in states/eV/atom: 0.323
E in eV/atom: -3.775

a = 8.518 Å, b = 8.518 Å, c = 3.511 Å
α = 90.00°, β = 90.00°, γ = 90.00°
Positions (direct):
Tl: 0.000 0.000 0.000
Tl: 0.500 0.500 0.000
Sn: 0.150 0.350 0.500
Sn: 0.350 0.850 0.500
Sn: 0.650 0.150 0.500
Sn: 0.850 0.650 0.500
Ge: 0.136 0.636 0.000
Ge: 0.364 0.136 0.000
Ge: 0.636 0.864 0.000
Ge: 0.864 0.364 0.000

=====

# 16
Density functional theory data (GGA-PBE) for a relaxed TlSn2Ge2 crystal.

Properties
DFT formation energy in eV per formula unit: 0.5
Distance to the lowest polymorph of the same formula in meV per atom: 0
Total magnetization in μB/cell: 0.000
DOS(E_F) in states/eV/atom: 0.492
E in eV/atom: -3.814

a = 6.166 Å, b = 6.166 Å, c = 6.166 Å
α = 129.98°, β = 129.98°, γ = 73.43°
Positions (direct):
Tl: 0.000 0.000 0.000
Sn: 0.250 0.750 0.500
Sn: 0.750 0.250 0.500
Ge: 0.371 0.371 0.000
Ge: 0.629 0.629 0.000

=====

# 17
Density functional theory data (GGA-PBE) for a relaxed TlSn2Ge crystal.

Properties
DFT formation energy in eV per formula unit: 0.7
Distance to the lowest polymorph of the same formula in meV per atom: 89
Total magnetization in μB/cell: 0.000
DOS(E_F) in states/eV/atom: 0.345
E in eV/atom: -3.565

a = 7.819 Å, b = 7.819 Å, c = 7.819 Å
α = 129.98°, β = 129.98°, γ = 73.44°
Positions (direct):
Tl: 0.000 0.000 0.000
Tl: 0.750 0.250 0.500
Sn: 0.156 0.625 0.031
Sn: 0.375 0.406 0.531
Sn: 0.594 0.125 0.969
Sn: 0.875 0.844 0.469
Ge: 0.250 0.750 0.500
Ge: 0.500 0.500 0.000

=====

# 18
Density functional theory data (GGA-PBE) for a relaxed Tl3SnGe crystal.

Properties
DFT formation energy in eV per formula unit: 3.4
Distance to the lowest polymorph of the same formula in meV per atom: 256
Total magnetization in μB/cell: 1.170
DOS(E_F) in states/eV/atom: 0.885
E in eV/atom: -2.467

a = 5.792 Å, b = 5.792 Å, c = 5.792 Å
α = 90.00°, β = 90.00°, γ = 90.00°
Positions (direct):
Tl: 0.000 0.000 0.500
Tl: 0.000 0.500 0.000
Tl: 0.500 0.000 0.000
Sn: 0.000 0.000 0.000
Ge: 0.500 0.500 0.500

=====

# 19
Density functional theory data (GGA-PBE) for a relaxed TmSn2Ge crystal.

Properties
DFT formation energy in eV per formula unit: -1.4
Distance to the lowest polymorph of the same formula in meV per atom: 0
Total magnetization in μB/cell: 0.000
DOS(E_F) in states/eV/atom: 0.435
E in eV/atom: -4.618

a = 4.489 Å, b = 4.489 Å, c = 4.729 Å
α = 90.00°, β = 90.00°, γ = 90.00°
Positions (direct):
Tm: 0.000 0.000 0.000
Sn: 0.000 0.500 0.500
Sn: 0.500 0.000 0.500
Ge: 0.500 0.500 0.000

=====

# 20
Density functional theory data (GGA-PBE) for a relaxed TmSn2Ge crystal.

Properties
DFT formation energy in eV per formula unit: 0.8
Distance to the lowest polymorph of the same formula in meV per atom: 536
Total magnetization in μB/cell: 0.000
DOS(E_F) in states/eV/atom: 0.775
E in eV/atom: -4.081

a = 10.639 Å, b = 10.639 Å, c = 10.639 Å
α = 18.96°, β = 18.96°, γ = 18.96°
Positions (direct):
Tm: 0.000 0.000 0.000
Sn: 0.099 0.099 0.099
Sn: 0.901 0.901 0.901
Ge: 0.500 0.500 0.500